Entry 1:
A crystal of LiLaIr relaxed with PBEsol. Source: Alexandria via LeMat-Bulk, functional meta-GGA SCAN.

POSCAR file:
```
LiLaIr
1.0
-3.1120 0.6747 -1.7825
0.7517 -2.7018 -2.3350
-0.9727 -1.8854 4.7199
Ir La Li
1 1 1
Direct
0.0031 0.0031 0.0063
0.3486 0.3486 0.6971
0.6483 0.6483 0.2966
```

Values from the calculation:
calculated density	9.4	g/cm3
E above lowest polymorph	0	meV per atom
ΔH_f (0 K)	-0.288	eV per atom
symmetry	No. 107
calculated total energy	-39.1524	eV/atom

***

Entry 2:
A crystal of LiLaMo2Ir relaxed with PBEsol. Source: Alexandria via LeMat-Bulk, functional meta-GGA SCAN.

POSCAR file:
```
LiLaMo2Ir
1.0
-0.2785 3.8430 -1.9385
-3.7179 -1.4825 -2.4047
-2.8088 1.5157 3.4082
Li La Mo Ir
1 1 2 1
Direct
0.5000 0.0000 0.0000
0.0000 0.0000 0.0000
0.0000 0.0000 0.5000
0.0000 0.5000 0.0000
0.5000 0.5000 0.5000
```

Values from the calculation:
calculated density	9.4	g/cm3
ΔH_f (0 K)	2.070	eV per atom
symmetry	No. 123
calculated total energy	-35.2026	eV/atom

***

Entry 3:
A crystal of Li2LaIrRu relaxed with PBEsol. Source: Alexandria via LeMat-Bulk, functional meta-GGA SCAN.

POSCAR file:
```
Li2LaIrRu
1.0
-2.0324 -0.5885 3.9766
-2.0669 -3.6688 -1.5993
3.6256 -2.6777 1.4568
Li Ir Ru La
2 1 1 1
Direct
0.5000 0.0000 0.0000
0.0000 0.5000 0.0000
0.0000 0.0000 0.5000
0.0000 0.0000 0.0000
0.5000 0.5000 0.5000
```

Values from the calculation:
calculated density	7.7	g/cm3
ΔH_f (0 K)	-0.024	eV per atom
symmetry	No. 123
calculated total energy	-30.7856	eV/atom

***

Entry 4:
A crystal of LaMg4Ir relaxed with PBEsol. Source: Alexandria via LeMat-Bulk, functional meta-GGA SCAN.

POSCAR file:
```
LaMg4Ir
1.0
-0.3678 5.0292 2.4188
-5.0154 2.1773 1.1760
-1.6852 0.4300 5.3154
Mg La Ir
4 1 1
Direct
0.8704 0.3765 0.3765
0.3765 0.8704 0.3765
0.3765 0.3765 0.8704
0.3765 0.3765 0.3765
0.0000 0.0000 0.0000
0.7500 0.7500 0.7500
```

Values from the calculation:
calculated density	5.8	g/cm3
ΔH_f (0 K)	-0.008	eV per atom
symmetry	No. 216
calculated total energy	-22.3577	eV/atom

***

> ΔH_f (0 K) of number 2 (LiLaMo2Ir)?

2.070 eV per atom

***

> What is the formula in the second record?

LiLaMo2Ir

***

> The highest calculated total energy belongs to which entry?

LaMg4Ir